Material: DyZn6Au6
Method: DFT, PBE-GGA
State: relaxed

```
DyZn6Au6
1.0
-0.029 5.071 1.407
-6.527 2.372 1.161
0.247 0.793 6.992
Dy Zn Au
1 6 6
Direct
0.000 0.000 0.000
0.000 0.500 0.000
0.500 0.500 0.000
0.000 0.000 0.500
0.500 0.000 0.500
0.500 0.757 0.243
0.500 0.243 0.757
0.338 0.662 0.662
0.662 0.338 0.338
0.000 0.335 0.665
0.000 0.665 0.335
0.327 0.173 0.173
0.673 0.827 0.827
```

=====

Material: Dy3Zn3Au
Method: DFT, PBE-GGA
State: relaxed

```
Dy3Zn3Au
1.0
-1.491 2.373 -3.486
-2.530 -2.500 -0.621
-4.105 4.801 7.893
Dy Zn Au
3 3 1
Direct
0.308 0.808 0.615
0.694 0.194 0.388
0.997 0.997 0.995
0.140 0.640 0.280
0.856 0.356 0.712
0.570 0.570 0.140
0.435 0.435 0.870
```

=====

PBE-GGA Dy3Zn2Au, relaxed; energy above the most stable polymorph in this dataset = 0 meV/atom
1.0
-1.493 2.613 1.949
-3.240 -0.955 -1.201
-1.060 -6.727 8.206
Dy Zn Au
3 2 1
Direct
0.000 0.000 0.000
0.000 0.000 0.669
0.000 0.000 0.331
0.500 0.500 0.839
0.500 0.500 0.161
0.500 0.500 0.500

=====

Material: DyZn2Au
Method: DFT, PBE-GGA
State: relaxed

```
DyZn2Au
1.0
-0.021 -4.243 -1.487
3.160 0.906 -2.629
2.781 -1.058 2.978
Zn Au Dy
2 1 1
Direct
0.000 0.000 0.500
0.000 0.500 0.000
0.500 0.000 0.000
0.500 0.500 0.500
```

=====

Material: Dy7Zn2Au2
Method: DFT, PBE-GGA
State: relaxed

```
Dy7Zn2Au2
1.0
6.453 -0.005 -0.956
0.002 7.596 0.004
-1.356 0.001 6.381
Dy Zn Au
7 2 2
Direct
0.000 0.283 0.500
0.500 0.717 0.000
0.000 0.717 0.500
0.500 0.283 0.000
0.000 0.000 0.000
0.500 0.738 0.500
0.500 0.262 0.500
0.707 0.000 0.293
0.293 0.000 0.707
0.810 0.500 0.810
0.190 0.500 0.190
```

=====

PBE-GGA DyZn3Au, relaxed; energy above the most stable polymorph in this dataset = 0 meV/atom
1.0
6.169 0.000 0.019
0.000 5.346 0.000
0.089 0.000 5.592
Dy Zn Au
2 6 2
Direct
0.665 0.750 0.345
0.335 0.250 0.655
0.839 0.005 0.849
0.161 0.995 0.151
0.839 0.495 0.849
0.161 0.505 0.151
0.112 0.750 0.563
0.888 0.250 0.437
0.457 0.750 0.847
0.543 0.250 0.153

=====

PBE-GGA Dy3Zn2Au, relaxed; energy above the most stable polymorph in this dataset = 9 meV/atom
1.0
-2.444 -4.134 1.621
3.445 -0.380 -3.699
4.423 -0.960 4.217
Dy Zn Au
3 2 1
Direct
0.000 0.000 0.500
0.667 0.333 0.836
0.333 0.667 0.164
0.667 0.333 0.349
0.333 0.667 0.651
0.000 0.000 0.000

=====

PBE-GGA Dy2Zn5Au3, relaxed; energy above the most stable polymorph in this dataset = 21 meV/atom
1.0
-1.770 4.424 3.172
-2.683 -2.925 7.747
6.814 3.413 4.206
Dy Zn Au
4 10 6
Direct
0.125 0.634 0.117
0.625 0.117 0.634
0.875 0.366 0.883
0.375 0.883 0.366
0.366 0.268 0.000
0.866 0.000 0.268
0.634 0.732 0.000
0.134 0.000 0.732
0.507 0.743 0.743
0.493 0.257 0.257
0.750 0.500 0.500
0.250 0.500 0.500
0.993 0.257 0.257
0.007 0.743 0.743
0.380 0.467 0.772
0.880 0.772 0.467
0.620 0.533 0.228
0.120 0.228 0.533
0.250 0.000 0.000
0.750 0.000 0.000

=====

Material: DyZn4Au4
Method: DFT, PBE-GGA
State: relaxed

```
DyZn4Au4
1.0
-1.299 3.693 2.773
-6.408 -4.517 3.012
4.930 -2.889 6.156
Dy Zn Au
2 8 8
Direct
0.000 0.000 0.000
0.500 0.500 0.500
0.501 0.882 0.222
0.501 0.118 0.778
0.001 0.722 0.618
0.999 0.382 0.722
0.999 0.618 0.278
0.499 0.222 0.118
0.499 0.778 0.882
0.001 0.278 0.382
0.499 0.425 0.845
0.999 0.655 0.925
0.499 0.575 0.155
0.001 0.075 0.655
0.501 0.845 0.575
0.001 0.925 0.345
0.999 0.345 0.075
0.501 0.155 0.425
```

=====

Material: Dy2ZnAu8
Method: DFT, PBE-GGA
State: relaxed

```
Dy2ZnAu8
1.0
-3.891 2.764 1.406
-4.128 -4.785 -2.019
4.241 -1.736 6.344
Dy Zn Au
2 1 8
Direct
0.800 0.300 0.600
0.200 0.700 0.400
0.500 0.000 0.000
0.374 0.587 0.748
0.626 0.839 0.252
0.825 0.826 0.651
0.000 0.266 0.000
0.175 0.174 0.349
0.374 0.161 0.748
0.626 0.413 0.252
0.000 0.734 0.000
```

=====

Material: Dy3Zn4Au4
Method: DFT, PBE-GGA
State: relaxed

```
Dy3Zn4Au4
1.0
3.590 0.002 0.002
0.003 4.405 0.006
1.788 2.202 14.202
Dy Zn Au
3 4 4
Direct
0.144 0.644 0.713
0.856 0.356 0.287
0.000 0.000 0.000
0.595 0.096 0.809
0.259 0.258 0.484
0.741 0.742 0.516
0.405 0.904 0.191
0.549 0.549 0.901
0.451 0.451 0.099
0.312 0.813 0.374
0.689 0.187 0.626
```

=====

Material: Dy3Zn4Au2
Method: DFT, PBE-GGA
State: relaxed

```
Dy3Zn4Au2
1.0
-2.756 1.918 -2.999
-0.682 -3.129 -4.753
-7.270 -3.987 0.750
Dy Zn Au
3 4 2
Direct
0.327 0.686 0.660
0.000 0.000 0.000
0.673 0.314 0.340
0.275 0.397 0.052
0.725 0.603 0.948
0.041 0.299 0.618
0.959 0.701 0.382
0.395 0.939 0.271
0.605 0.061 0.729
```

=====

Let's list E_form in order: -0.359; -0.448; -0.525; -0.381; -0.165; -0.426; -0.517; -0.465; -0.291; -0.518; -0.606; -0.568 eV/atom.
Let's list E in order: -2.81; -3.43; -3.80; -2.99; -3.92; -2.77; -3.79; -3.01; -2.83; -3.85; -3.52; -3.40 eV per atom.